LiCrO2 after structural relaxation. Source: the Alexandria database, functional PBE+U.

Calculated values
E_tot: -6.897 eV per atom
polymorph energy (0 for the lowest one): 0.01 eV/f.u.
space-group type: Fd-3m (227)
crystal system: cubic
volume: 9.2 Å³/atom
total magnetization: 3.0 μB/f.u.

Cell: 5.9211 5.9211 5.9211 Å, 60.00 60.00 60.00°
Sites, in units of the cell vectors:
Cr 0.0000 0.0000 0.0000
Cr 0.0000 0.0000 0.5000
Cr 0.0000 0.5000 0.0000
Cr 0.5000 0.0000 0.0000
O 0.2420 0.2420 0.2420
O 0.2420 0.7740 0.2420
O 0.2420 0.2420 0.7740
O 0.2260 0.7580 0.7580
O 0.7740 0.2420 0.2420
O 0.7580 0.7580 0.2260
O 0.7580 0.2260 0.7580
O 0.7580 0.7580 0.7580
Li 0.0000 0.5000 0.5000
Li 0.5000 0.0000 0.5000
Li 0.5000 0.5000 0.0000
Li 0.5000 0.5000 0.5000